No. 1
Zn2TcRu | PBE-GGA | optimized geometry

a = 6.083 Å, b = 6.083 Å, c = 6.083 Å
α = 90.00°, β = 90.00°, γ = 90.00°
Sites, in units of the cell vectors:
Zn: 0.250 0.250 0.250
Zn: 0.250 0.250 0.750
Zn: 0.250 0.750 0.250
Zn: 0.250 0.750 0.750
Zn: 0.750 0.250 0.250
Zn: 0.750 0.250 0.750
Zn: 0.750 0.750 0.250
Zn: 0.750 0.750 0.750
Tc: 0.000 0.000 0.000
Tc: 0.000 0.500 0.500
Tc: 0.500 0.000 0.500
Tc: 0.500 0.500 0.000
Ru: 0.000 0.000 0.500
Ru: 0.000 0.500 0.000
Ru: 0.500 0.000 0.000
Ru: 0.500 0.500 0.500

Summary:
Calculated total energy, eV per atom: -5.311
Calculated formation energy, eV/atom: 0.24
Excess energy over the best structure of this formula in the dataset, meV/atom: 309.7
Symmetry: Fm-3m (225)
Fermi-level density of states, states/eV/f.u.: 4.026



No. 2
ZnTcRu3 | PBE-GGA | optimized geometry

a = 4.625 Å, b = 4.625 Å, c = 4.625 Å
α = 90.00°, β = 90.00°, γ = 90.00°
Sites, in units of the cell vectors:
Zn: 0.000 0.000 0.000
Tc: 0.500 0.500 0.500
Ru: 0.000 0.500 0.500
Ru: 0.500 0.000 0.500
Ru: 0.500 0.500 0.000

Summary:
Calculated total energy, eV per atom: -6.331
Calculated formation energy, eV/atom: 1.56
Excess energy over the best structure of this formula in the dataset, meV/atom: 0.0
Symmetry: Pm-3m (221)
Fermi-level density of states, states/eV/f.u.: 4.884



No. 3
Zn2TcRu | PBE-GGA | optimized geometry

a = 2.747 Å, b = 2.747 Å, c = 26.182 Å
α = 90.00°, β = 90.00°, γ = 120.00°
Sites, in units of the cell vectors:
Zn: 0.000 0.000 0.249
Zn: 0.000 0.000 0.751
Zn: 0.333 0.667 0.418
Zn: 0.333 0.667 0.915
Zn: 0.667 0.333 0.085
Zn: 0.667 0.333 0.582
Tc: 0.000 0.000 0.000
Tc: 0.333 0.667 0.667
Tc: 0.667 0.333 0.333
Ru: 0.000 0.000 0.500
Ru: 0.333 0.667 0.167
Ru: 0.667 0.333 0.833

Summary:
Calculated total energy, eV per atom: -5.434
Calculated formation energy, eV/atom: 0.11
Excess energy over the best structure of this formula in the dataset, meV/atom: 186.7
Symmetry: R-3m (166)
Fermi-level density of states, states/eV/f.u.: 3.293



No. 4
ZnTc2Ru | PBE-GGA | optimized geometry

a = 4.572 Å, b = 4.572 Å, c = 2.760 Å
α = 90.00°, β = 90.00°, γ = 90.00°
Sites, in units of the cell vectors:
Zn: 0.000 0.000 0.000
Tc: 0.000 0.500 0.500
Tc: 0.500 0.000 0.500
Ru: 0.500 0.500 0.000

Summary:
Calculated total energy, eV per atom: -7.505
Calculated formation energy, eV/atom: 0.32
Symmetry: P4/mmm (123)
Fermi-level density of states, states/eV/f.u.: 4.549



No. 5
Zn2TcRu | PBE-GGA | optimized geometry

a = 2.993 Å, b = 4.358 Å, c = 8.581 Å
α = 90.00°, β = 90.00°, γ = 90.00°
Sites, in units of the cell vectors:
Zn: 0.000 0.000 0.000
Zn: 0.000 0.500 0.259
Zn: 0.500 0.000 0.759
Zn: 0.500 0.500 0.500
Tc: 0.000 0.000 0.502
Tc: 0.500 0.500 0.002
Ru: 0.000 0.500 0.753
Ru: 0.500 0.000 0.253

Summary:
Calculated total energy, eV per atom: -5.445
Calculated formation energy, eV/atom: 0.10
Excess energy over the best structure of this formula in the dataset, meV/atom: 176.1
Symmetry: Imm2 (44)
Fermi-level density of states, states/eV/f.u.: 3.645



No. 6
ZnTcRu2 | PBE-GGA | optimized geometry

a = 3.697 Å, b = 3.697 Å, c = 8.235 Å
α = 90.00°, β = 90.00°, γ = 90.00°
Sites, in units of the cell vectors:
Zn: 0.000 0.000 0.000
Zn: 0.500 0.500 0.500
Tc: 0.000 0.500 0.250
Tc: 0.500 0.000 0.750
Ru: 0.000 0.000 0.500
Ru: 0.000 0.500 0.750
Ru: 0.500 0.000 0.250
Ru: 0.500 0.500 0.000

Summary:
Calculated total energy, eV per atom: -7.415
Calculated formation energy, eV/atom: 0.13
Symmetry: I-4m2 (119)
Fermi-level density of states, states/eV/f.u.: 5.069



No. 7
ZnTcRu2 | PBE-GGA | optimized geometry

a = 2.847 Å, b = 4.563 Å, c = 8.865 Å
α = 90.00°, β = 90.00°, γ = 90.00°
Sites, in units of the cell vectors:
Zn: 0.000 0.000 0.000
Zn: 0.500 0.500 0.000
Tc: 0.000 0.000 0.500
Tc: 0.500 0.500 0.500
Ru: 0.000 0.500 0.251
Ru: 0.000 0.500 0.749
Ru: 0.500 0.000 0.251
Ru: 0.500 0.000 0.749

Summary:
Calculated total energy, eV per atom: -7.298
Calculated formation energy, eV/atom: 0.25
Symmetry: Cmmm (65)
Fermi-level density of states, states/eV/f.u.: 5.061



No. 8
ZnTc2Ru | PBE-GGA | optimized geometry

a = 3.793 Å, b = 3.793 Å, c = 7.919 Å
α = 90.00°, β = 90.00°, γ = 90.00°
Sites, in units of the cell vectors:
Zn: 0.000 0.000 0.000
Zn: 0.500 0.500 0.500
Tc: 0.000 0.000 0.500
Tc: 0.000 0.500 0.250
Tc: 0.500 0.000 0.750
Tc: 0.500 0.500 0.000
Ru: 0.000 0.500 0.750
Ru: 0.500 0.000 0.250

Summary:
Calculated total energy, eV per atom: -7.663
Calculated formation energy, eV/atom: 0.16
Symmetry: I-4m2 (119)
Fermi-level density of states, states/eV/f.u.: 5.522